[1]
Entry from Alexandria: crystalline LiLa2Er3Te6 at its relaxed geometry (PBE).

Properties
ΔE_f (raw) (eV/atom): -1.372
V (A^3/atom): 30.39
Fermi-level density of states (states/eV/f.u.): 4.46
Calculated total energy (eV/atom): -5.06
Spin magnetization (μB/atom): 0.000

```
data_LiLa2Er3Te6
_symmetry_space_group_name_H-M 'C 1 2/m 1'
_symmetry_Int_Tables_number 12
_cell_length_a 19.299
_cell_length_b 4.385
_cell_length_c 8.881
_cell_angle_alpha 90.00
_cell_angle_beta 103.99
_cell_angle_gamma 90.00
loop_
_symmetry_equiv_pos_as_xyz
'x,y,z'
'-x,-y,-z'
'-x,y,-z'
'x,-y,z'
'x+1/2,y+1/2,z'
'-x+1/2,-y+1/2,-z'
'-x+1/2,y+1/2,-z'
'x+1/2,-y+1/2,z'
loop_
_atom_site_label
_atom_site_fract_x
_atom_site_fract_y
_atom_site_fract_z
_atom_site_occupancy
Li1 0.000 0.000 0.000 1
La1 0.168 0.500 0.337 1
Er1 0.000 0.000 0.500 1
Er2 0.171 0.500 0.830 1
Te1 0.005 0.500 0.754 1
Te2 0.161 0.000 0.593 1
Te3 0.163 0.000 0.066 1
```

***

[2]
Entry from Alexandria: crystalline Li4LaEr3Te8 at its relaxed geometry (PBE).

Properties
ΔE_f (raw) (eV/atom): -1.297
V (A^3/atom): 29.27
Calculated total energy (eV/atom): -4.51
Spin magnetization (μB/atom): 0.000

```
data_Li4LaEr3Te8
_symmetry_space_group_name_H-M 'R -3 m'
_symmetry_Int_Tables_number 166
_symmetry_space_group_name_Hall '-R 3 2"'
_cell_length_a 8.7531
_cell_length_b 8.7531
_cell_length_c 21.1770
_cell_angle_alpha 90.00
_cell_angle_beta 90.00
_cell_angle_gamma 120.00
loop_
_atom_site_label
_atom_site_fract_x
_atom_site_fract_y
_atom_site_fract_z
_atom_site_occupancy
Li1 0.0000 0.0000 0.0000 1
Li2 0.0000 0.5000 0.0000 1
La1 0.0000 0.0000 0.5000 1
Er1 0.0000 0.5000 0.5000 1
Te1 0.0000 0.0000 0.2505 1
Te2 0.0116 0.5058 0.7475 1
```

***

[3]
Entry from Alexandria: crystalline LiLa4Er3Te8 at its relaxed geometry (PBE).

Properties
ΔE_f (raw) (eV/atom): -1.416
V (A^3/atom): 31.05
Fermi-level density of states (states/eV/f.u.): 9.86
Calculated total energy (eV/atom): -5.19
Spin magnetization (μB/atom): 0.000

```
data_LiLa4Er3Te8
_symmetry_space_group_name_H-M 'R -3 m'
_symmetry_Int_Tables_number 166
_symmetry_space_group_name_Hall '-R 3 2"'
_cell_length_a 8.8547
_cell_length_b 8.8547
_cell_length_c 21.9455
_cell_angle_alpha 90.00
_cell_angle_beta 90.00
_cell_angle_gamma 120.00
loop_
_atom_site_label
_atom_site_fract_x
_atom_site_fract_y
_atom_site_fract_z
_atom_site_occupancy
Li1 0.0000 0.0000 0.0000 1
La1 0.0000 0.0000 0.5000 1
La2 0.0000 0.5000 0.5000 1
Er1 0.0000 0.5000 0.0000 1
Te1 0.0000 0.0000 0.2564 1
Te2 0.0050 0.5025 0.7422 1
```

***

[4]
Entry from Alexandria: crystalline LiLa2ErTe4 at its relaxed geometry (PBE).

Properties
ΔE_f (raw) (eV/atom): -1.414
V (A^3/atom): 31.06
Fermi-level density of states (states/eV/f.u.): 3.50
Calculated total energy (eV/atom): -5.03
Spin magnetization (μB/atom): 0.000

```
data_LiLa2ErTe4
_symmetry_space_group_name_H-M 'P 1 2/m 1'
_symmetry_Int_Tables_number 10
_cell_length_a 7.682
_cell_length_b 4.443
_cell_length_c 7.719
_cell_angle_alpha 90.00
_cell_angle_beta 109.41
_cell_angle_gamma 90.00
loop_
_symmetry_equiv_pos_as_xyz
'x,y,z'
'-x,-y,-z'
'-x,y,-z'
'x,-y,z'
loop_
_atom_site_label
_atom_site_fract_x
_atom_site_fract_y
_atom_site_fract_z
_atom_site_occupancy
Li1 0.000 0.000 0.000 1
La1 0.500 0.000 0.500 1
La2 0.500 0.500 0.000 1
Er1 0.000 0.500 0.500 1
Te1 0.227 0.500 0.240 1
Te2 0.228 0.000 0.747 1
```

***

[5]
Entry from Alexandria: crystalline Li2LaEr2Tl2 at its relaxed geometry (PBE).

Properties
V (A^3/atom): 26.73
Fermi-level density of states (states/eV/f.u.): 5.40
Calculated total energy (eV/atom): -3.43
Formation enthalpy at 0 K (eV per atom): -0.197
Spin magnetization (μB/atom): 0.000

```
data_Li2LaEr2Tl2
_symmetry_space_group_name_H-M 'R -3 m'
_symmetry_Int_Tables_number 166
_symmetry_space_group_name_Hall '-R 3 2"'
_cell_length_a 4.8938
_cell_length_b 4.8938
_cell_length_c 27.0652
_cell_angle_alpha 90.00
_cell_angle_beta 90.00
_cell_angle_gamma 120.00
loop_
_atom_site_label
_atom_site_fract_x
_atom_site_fract_y
_atom_site_fract_z
_atom_site_occupancy
Li1 0.0000 0.0000 0.0883 1
La1 0.0000 0.0000 0.5000 1
Er1 0.0000 0.0000 0.3703 1
Tl1 0.0000 0.0000 0.2438 1
```

***

[6]
Entry from Alexandria: crystalline Li2LaErTl4 at its relaxed geometry (PBE).

Properties
V (A^3/atom): 25.79
Fermi-level density of states (states/eV/f.u.): 2.01
Calculated total energy (eV/atom): -3.18
Formation enthalpy at 0 K (eV per atom): -0.327
Spin magnetization (μB/atom): 0.000

```
data_Li2LaErTl4
_symmetry_space_group_name_H-M 'R -3 m'
_symmetry_Int_Tables_number 166
_symmetry_space_group_name_Hall '-R 3 2"'
_cell_length_a 5.2354
_cell_length_b 5.2354
_cell_length_c 26.0767
_cell_angle_alpha 90.00
_cell_angle_beta 90.00
_cell_angle_gamma 120.00
loop_
_atom_site_label
_atom_site_fract_x
_atom_site_fract_y
_atom_site_fract_z
_atom_site_occupancy
Li1 0.0000 0.0000 0.2476 1
La1 0.0000 0.0000 0.0000 1
Er1 0.0000 0.0000 0.5000 1
Tl1 0.0000 0.0000 0.1274 1
Tl2 0.0000 0.0000 0.3800 1
```

***

[7]
Entry from Alexandria: crystalline Li2La2ErTl2 at its relaxed geometry (PBE).

Properties
V (A^3/atom): 25.89
Fermi-level density of states (states/eV/f.u.): 3.66
Calculated total energy (eV/atom): -3.51
Formation enthalpy at 0 K (eV per atom): -0.222
Spin magnetization (μB/atom): 0.000

```
data_Li2La2ErTl2
_symmetry_space_group_name_H-M 'R -3 m'
_symmetry_Int_Tables_number 166
_symmetry_space_group_name_Hall '-R 3 2"'
_cell_length_a 4.8376
_cell_length_b 4.8376
_cell_length_c 26.8298
_cell_angle_alpha 90.00
_cell_angle_beta 90.00
_cell_angle_gamma 120.00
loop_
_atom_site_label
_atom_site_fract_x
_atom_site_fract_y
_atom_site_fract_z
_atom_site_occupancy
Li1 0.0000 0.0000 0.1052 1
La1 0.0000 0.0000 0.3647 1
Er1 0.0000 0.0000 0.5000 1
Tl1 0.0000 0.0000 0.2306 1
```

***

[8]
Entry from Alexandria: crystalline LiLaErZn at its relaxed geometry (PBE).

Properties
V (A^3/atom): 25.26
Fermi-level density of states (states/eV/f.u.): 5.33
Calculated total energy (eV/atom): -3.27
Formation enthalpy at 0 K (eV per atom): -0.101
Spin magnetization (μB/atom): 0.000

```
data_LiLaErZn
_symmetry_space_group_name_H-M 'F -4 3 m'
_symmetry_Int_Tables_number 216
_symmetry_space_group_name_Hall 'F -4 2 3'
_cell_length_a 7.394
_cell_length_b 7.394
_cell_length_c 7.394
_cell_angle_alpha 90.00
_cell_angle_beta 90.00
_cell_angle_gamma 90.00
loop_
_atom_site_label
_atom_site_fract_x
_atom_site_fract_y
_atom_site_fract_z
_atom_site_occupancy
Li1 0.000 0.000 0.000 1
La1 0.250 0.250 0.250 1
Er1 0.250 0.250 0.750 1
Zn1 0.000 0.000 0.500 1
```

***

[9]
Entry from Alexandria: crystalline LaEr2Lu at its relaxed geometry (PBE).

Properties
V (A^3/atom): 31.96
Fermi-level density of states (states/eV/f.u.): 6.89
Calculated total energy (eV/atom): -4.60
Formation enthalpy at 0 K (eV per atom): 0.042
Spin magnetization (μB/atom): 0.000

```
data_LaEr2Lu
_symmetry_space_group_name_H-M 'P 4/m m m'
_symmetry_Int_Tables_number 123
_symmetry_space_group_name_Hall '-P 4 2'
_cell_length_a 5.011
_cell_length_b 5.011
_cell_length_c 5.092
_cell_angle_alpha 90.00
_cell_angle_beta 90.00
_cell_angle_gamma 90.00
loop_
_atom_site_label
_atom_site_fract_x
_atom_site_fract_y
_atom_site_fract_z
_atom_site_occupancy
La1 0.000 0.000 0.000 1
Er1 0.000 0.500 0.500 1
Lu1 0.500 0.500 0.000 1
```

***

[10]
Entry from Alexandria: crystalline LaEr2Lu at its relaxed geometry (PBE).

Properties
V (A^3/atom): 32.31
Fermi-level density of states (states/eV/f.u.): 6.58
Calculated total energy (eV/atom): -4.52
Formation enthalpy at 0 K (eV per atom): 0.126
Spin magnetization (μB/atom): 0.001

```
data_LaEr2Lu
_symmetry_space_group_name_H-M 'F m -3 m'
_symmetry_Int_Tables_number 225
_symmetry_space_group_name_Hall '-F 4 2 3'
_cell_length_a 8.026
_cell_length_b 8.026
_cell_length_c 8.026
_cell_angle_alpha 90.00
_cell_angle_beta 90.00
_cell_angle_gamma 90.00
loop_
_atom_site_label
_atom_site_fract_x
_atom_site_fract_y
_atom_site_fract_z
_atom_site_occupancy
La1 0.000 0.000 0.000 1
Er1 0.250 0.250 0.250 1
Lu1 0.000 0.000 0.500 1
```

***

[11]
Entry from Alexandria: crystalline LaErLu2 at its relaxed geometry (PBE).

Properties
V (A^3/atom): 32.05
Fermi-level density of states (states/eV/f.u.): 5.58
Calculated total energy (eV/atom): -4.55
Formation enthalpy at 0 K (eV per atom): 0.084
Spin magnetization (μB/atom): 0.002

```
data_LaErLu2
_symmetry_space_group_name_H-M 'P 4/m m m'
_symmetry_Int_Tables_number 123
_symmetry_space_group_name_Hall '-P 4 2'
_cell_length_a 4.034
_cell_length_b 4.034
_cell_length_c 7.879
_cell_angle_alpha 90.00
_cell_angle_beta 90.00
_cell_angle_gamma 90.00
loop_
_atom_site_label
_atom_site_fract_x
_atom_site_fract_y
_atom_site_fract_z
_atom_site_occupancy
La1 0.000 0.000 0.000 1
Er1 0.000 0.000 0.500 1
Lu1 0.500 0.500 0.265 1
```

***

[12]
Entry from Alexandria: crystalline LaErLu2 at its relaxed geometry (PBE).

Properties
V (A^3/atom): 31.69
Fermi-level density of states (states/eV/f.u.): 7.22
Calculated total energy (eV/atom): -4.59
Formation enthalpy at 0 K (eV per atom): 0.045
Spin magnetization (μB/atom): 0.006

```
data_LaErLu2
_symmetry_space_group_name_H-M 'P 4/m m m'
_symmetry_Int_Tables_number 123
_symmetry_space_group_name_Hall '-P 4 2'
_cell_length_a 5.057
_cell_length_b 5.057
_cell_length_c 4.958
_cell_angle_alpha 90.00
_cell_angle_beta 90.00
_cell_angle_gamma 90.00
loop_
_atom_site_label
_atom_site_fract_x
_atom_site_fract_y
_atom_site_fract_z
_atom_site_occupancy
La1 0.000 0.000 0.000 1
Er1 0.500 0.500 0.000 1
Lu1 0.000 0.500 0.500 1
```